No. 1
DFT (PBE-GGA) results for crystalline SmLuBi at its relaxed geometry.

Properties
Electronic total energy = -14.02 eV/cell

Cell: 5.170 5.170 5.170 Å, 60.00 60.00 60.00°
Fractional coordinates of all 3 atoms:
Sm (0.000, 0.000, 0.000)
Lu (0.500, 0.500, 0.500)
Bi (0.750, 0.750, 0.750)

No. 2
DFT (PBE-GGA) results for crystalline LiErZnTe3 at its relaxed geometry.

Properties
Electronic total energy = -90.18 eV/cell

Cell: 12.952 4.250 12.582 Å, 90.00 90.00 90.00°
Fractional coordinates of all 24 atoms:
Li (0.122, 0.250, 0.011)
Li (0.378, 0.750, 0.511)
Li (0.622, 0.250, 0.489)
Li (0.878, 0.750, 0.989)
Er (0.048, 0.250, 0.676)
Er (0.452, 0.750, 0.176)
Er (0.548, 0.250, 0.824)
Er (0.952, 0.750, 0.324)
Zn (0.238, 0.250, 0.286)
Zn (0.262, 0.750, 0.786)
Zn (0.738, 0.250, 0.214)
Zn (0.762, 0.750, 0.714)
Te (0.067, 0.750, 0.857)
Te (0.089, 0.250, 0.425)
Te (0.217, 0.750, 0.156)
Te (0.283, 0.250, 0.656)
Te (0.411, 0.750, 0.925)
Te (0.433, 0.250, 0.357)
Te (0.567, 0.750, 0.643)
Te (0.589, 0.250, 0.075)
Te (0.717, 0.750, 0.344)
Te (0.783, 0.250, 0.844)
Te (0.911, 0.750, 0.575)
Te (0.933, 0.250, 0.143)

No. 3
DFT (PBE-GGA) results for crystalline GdTmH2I4 at its relaxed geometry.

Properties
Electronic total energy = -31.45 eV/cell

Cell: 3.986 3.986 16.557 Å, 90.00 90.00 120.00°
Fractional coordinates of all 8 atoms:
Gd (0.000, 0.000, 0.000)
Tm (0.000, 0.000, 0.500)
H (0.333, 0.667, 0.500)
H (0.667, 0.333, 0.000)
I (0.333, 0.667, 0.129)
I (0.333, 0.667, 0.871)
I (0.667, 0.333, 0.374)
I (0.667, 0.333, 0.626)

No. 4
DFT (PBE-GGA) results for crystalline K3Au at its relaxed geometry.

Properties
Electronic total energy = -28.63 eV/cell

Cell: 10.758 10.758 10.758 Å, 96.47 96.47 140.76°
Fractional coordinates of all 16 atoms:
K (0.000, 0.363, 0.363)
K (0.000, 0.637, 0.637)
K (0.087, 0.087, 0.606)
K (0.164, 0.365, 0.000)
K (0.363, 0.000, 0.363)
K (0.365, 0.164, 0.000)
K (0.481, 0.481, 0.394)
K (0.519, 0.913, 0.000)
K (0.635, 0.635, 0.799)
K (0.637, 0.000, 0.637)
K (0.836, 0.836, 0.201)
K (0.913, 0.519, 0.000)
Au (0.206, 0.500, 0.706)
Au (0.500, 0.206, 0.706)
Au (0.500, 0.794, 0.294)
Au (0.794, 0.500, 0.294)

No. 5
DFT (PBE-GGA) results for crystalline TbGd2Te3 at its relaxed geometry.

Properties
Electronic total energy = -31.34 eV/cell

Cell: 4.377 4.377 10.745 Å, 90.00 90.00 120.00°
Fractional coordinates of all 6 atoms:
Tb (0.000, 0.000, 0.000)
Gd (0.333, 0.667, 0.667)
Gd (0.667, 0.333, 0.333)
Te (0.000, 0.000, 0.500)
Te (0.333, 0.667, 0.165)
Te (0.667, 0.333, 0.835)

No. 6
DFT (PBE-GGA) results for crystalline GdCl2 at its relaxed geometry.

Properties
Electronic total energy = -55.69 eV/cell

Cell: 7.719 3.591 10.487 Å, 90.00 106.45 90.00°
Fractional coordinates of all 12 atoms:
Gd (0.232, 0.248, 0.177)
Gd (0.232, 0.252, 0.677)
Gd (0.768, 0.748, 0.323)
Gd (0.768, 0.752, 0.823)
Cl (0.075, 0.248, 0.394)
Cl (0.075, 0.252, 0.894)
Cl (0.433, 0.748, 0.364)
Cl (0.433, 0.752, 0.864)
Cl (0.567, 0.248, 0.136)
Cl (0.567, 0.252, 0.636)
Cl (0.925, 0.748, 0.106)
Cl (0.925, 0.752, 0.606)

No. 7
DFT (PBE-GGA) results for crystalline Tm2CoSn at its relaxed geometry.

Properties
Electronic total energy = -21.51 eV/cell

Cell: 4.299 5.866 5.866 Å, 37.79 90.00 90.00°
Fractional coordinates of all 4 atoms:
Tm (0.000, 0.000, 0.000)
Tm (0.500, 0.308, 0.308)
Co (0.000, 0.745, 0.745)
Sn (0.500, 0.595, 0.595)

No. 8
DFT (PBE-GGA) results for crystalline Tb3YC2Se2 at its relaxed geometry.

Properties
Electronic total energy = -54.88 eV/cell

Cell: 3.777 3.777 13.360 Å, 90.00 90.00 120.00°
Fractional coordinates of all 8 atoms:
Tb (0.000, 0.000, 0.000)
Tb (0.000, 0.000, 0.299)
Tb (0.333, 0.667, 0.500)
Y (0.333, 0.667, 0.799)
C (0.667, 0.333, 0.400)
C (0.667, 0.333, 0.900)
Se (0.000, 0.000, 0.650)
Se (0.333, 0.667, 0.150)

No. 9
DFT (PBE-GGA) results for crystalline AlTcNO at its relaxed geometry.

Properties
Electronic total energy = -61.73 eV/cell

Cell: 3.631 3.631 6.373 Å, 90.00 90.00 90.00°
Fractional coordinates of all 8 atoms:
Al (0.250, 0.250, 0.104)
Al (0.750, 0.750, 0.896)
Tc (0.250, 0.750, 0.500)
Tc (0.750, 0.250, 0.500)
N (0.250, 0.250, 0.664)
N (0.750, 0.750, 0.336)
O (0.250, 0.750, 0.000)
O (0.750, 0.250, 0.000)

No. 10
DFT (PBE-GGA) results for crystalline Ni4BiP2 at its relaxed geometry.

Properties
Electronic total energy = -77.19 eV/cell

Cell: 7.338 7.338 3.508 Å, 90.00 90.00 90.00°
Fractional coordinates of all 14 atoms:
Ni (0.069, 0.322, 0.000)
Ni (0.178, 0.569, 0.500)
Ni (0.322, 0.069, 0.000)
Ni (0.431, 0.822, 0.500)
Ni (0.569, 0.178, 0.500)
Ni (0.678, 0.931, 0.000)
Ni (0.822, 0.431, 0.500)
Ni (0.931, 0.678, 0.000)
Bi (0.000, 0.000, 0.500)
Bi (0.500, 0.500, 0.000)
P (0.228, 0.772, 0.000)
P (0.272, 0.272, 0.500)
P (0.728, 0.728, 0.500)
P (0.772, 0.228, 0.000)

No. 11
DFT (PBE-GGA) results for crystalline MgAlSbOs at its relaxed geometry.

Properties
Electronic total energy = -20.16 eV/cell

Cell: 4.605 4.605 4.605 Å, 60.00 60.00 60.00°
Fractional coordinates of all 4 atoms:
Mg (0.000, 0.000, 0.000)
Al (0.750, 0.750, 0.750)
Sb (0.250, 0.250, 0.250)
Os (0.500, 0.500, 0.500)

No. 12
DFT (PBE-GGA) results for crystalline RbDyF3 at its relaxed geometry.

Properties
Electronic total energy = -52.77 eV/cell

Cell: 4.396 5.982 7.738 Å, 90.00 106.12 90.00°
Fractional coordinates of all 10 atoms:
Rb (0.162, 0.250, 0.321)
Rb (0.838, 0.750, 0.679)
Dy (0.413, 0.250, 0.833)
Dy (0.587, 0.750, 0.167)
F (0.077, 0.750, 0.148)
F (0.316, 0.008, 0.634)
F (0.316, 0.492, 0.634)
F (0.684, 0.508, 0.366)
F (0.684, 0.992, 0.366)
F (0.923, 0.250, 0.852)

- Which value of electronic total energy does entry 1 give?
  -14.02 eV/cell

- What is the electronic total energy in the third record?
  -31.45 eV/cell

- Among the records above, which one has the highest electronic total energy?
  SmLuBi

- Look up the electronic total energy of the tenth one.
  -77.19 eV/cell